# 1
Density functional theory data (SCAN) for PRhSe3 at its PBEsol-relaxed geometry.

Cell: 4.651 4.651 4.651 Å, 90.00 90.00 90.00°
Each line ends with the local moment (μB).
Sites, in units of the cell vectors:
1 Rh 0.500 0.500 0.500  1.74
2 Se 0.000 0.000 0.500  0.17
3 Se 0.000 0.500 0.000  0.17
4 Se 0.500 0.000 0.000  0.17
5 P 0.000 0.000 0.000  0.03

Properties
As for the density of states at the Fermi level: 4.36 states/eV per cell. For the total magnetization, the calculation gives 2.500 Bohr magnetons per cell. Its uncorrected formation energy is 0.939 eV per atom.

***

# 2
Density functional theory data (SCAN) for LaGeI2 at its PBEsol-relaxed geometry.

Cell: 5.469 5.469 5.469 Å, 60.00 60.00 60.00°
Sites, in units of the cell vectors:
1 I 0.250 0.250 0.250
2 I 0.750 0.750 0.750
3 La 0.500 0.500 0.500
4 Ge 0.000 0.000 0.000

Properties
As for the density of states at the Fermi level: 5.08 states/eV per cell. For the total magnetization, the calculation gives 0.000 Bohr magnetons per cell. Its uncorrected formation energy is -0.466 eV per atom.

***

# 3
Density functional theory data (SCAN) for CaHgPb2 at its PBEsol-relaxed geometry.

Cell: 4.672 4.761 4.761 Å, 90.02 90.00 90.00°
Sites, in units of the cell vectors:
1 Pb 0.000 0.500 0.000
2 Pb 0.000 0.000 0.500
3 Hg 0.500 0.500 0.500
4 Ca 0.500 0.000 0.000

Properties
As for the density of states at the Fermi level: 1.86 states/eV per cell. The calculation puts the formation energy from the elements at -0.428 eV/atom. For the total magnetization, the calculation gives 0.000 Bohr magnetons per cell.

***

# 4
Density functional theory data (SCAN) for RbSrO2F at its PBEsol-relaxed geometry.

Cell: 4.692 4.692 4.751 Å, 90.00 90.00 90.00°
Each line ends with the local moment (μB).
Sites, in units of the cell vectors:
1 F 0.000 0.000 0.500  0.00
2 Rb 0.500 0.500 0.500  0.00
3 O 0.500 0.000 0.000  0.81
4 O 0.000 0.500 0.000  0.81
5 Sr 0.000 0.000 0.000  0.00

Properties
As for the density of states at the Fermi level: 1.97 states/eV per cell. For the total magnetization, the calculation gives 2.000 Bohr magnetons per cell. Its uncorrected formation energy is -1.895 eV per atom.

***

# 5
Density functional theory data (SCAN) for Ni2RuSe at its PBEsol-relaxed geometry.

Cell: 2.866 4.181 4.862 Å, 115.47 107.14 90.00°
Each line ends with the local moment (μB).
Sites, in units of the cell vectors:
1 Ni 0.273 0.273 0.546  0.39
2 Ni 0.727 0.727 0.454  0.39
3 Ru 0.500 0.000 0.000  0.59
4 Se 0.000 0.500 0.000  0.00

Properties
As for the density of states at the Fermi level: 4.08 states/eV per cell. For the total magnetization, the calculation gives 1.272 Bohr magnetons per cell. Its uncorrected formation energy is 0.294 eV per atom.

***

# 6
Density functional theory data (SCAN) for LiHW3 at its PBEsol-relaxed geometry.

Cell: 4.130 4.130 4.130 Å, 90.00 90.00 90.00°
Sites, in units of the cell vectors:
1 W 0.500 0.000 0.000
2 W 0.000 0.000 0.500
3 W 0.000 0.500 0.000
4 Li 0.000 0.000 0.000
5 H 0.500 0.500 0.500

Properties
As for the density of states at the Fermi level: 2.69 states/eV per cell. For the total magnetization, the calculation gives 0.000 Bohr magnetons per cell. The calculation puts the energy at -202.581 eV for the cell shown.

***

Repeat the second record exactly.
Density functional theory data (SCAN) for LaGeI2 at its PBEsol-relaxed geometry.

Cell: 5.469 5.469 5.469 Å, 60.00 60.00 60.00°
Sites, in units of the cell vectors:
1 I 0.250 0.250 0.250
2 I 0.750 0.750 0.750
3 La 0.500 0.500 0.500
4 Ge 0.000 0.000 0.000

Properties
As for the density of states at the Fermi level: 5.08 states/eV per cell. For the total magnetization, the calculation gives 0.000 Bohr magnetons per cell. Its uncorrected formation energy is -0.466 eV per atom.

***

The highest total magnetization belongs to which entry? PRhSe3

***

What is the total magnetization in the third record? 0.000 Bohr magnetons per cell

***

What is the formula in the third record? CaHgPb2